Crystalline Cs3MgCu2Cl9 at its relaxed geometry, computed with PBE.

Unit cell a=7.120 b=7.120 c=8.741 alpha=90.00 beta=90.00 gamma=120.00
Sites, in units of the cell vectors:
Cs: 0.000 0.000 0.000
Cs: 0.333 0.667 0.664
Cs: 0.667 0.333 0.336
Mg: 0.000 0.000 0.500
Cu: 0.333 0.667 0.159
Cu: 0.667 0.333 0.841
Cl: 0.000 0.500 0.000
Cl: 0.169 0.337 0.329
Cl: 0.169 0.831 0.329
Cl: 0.337 0.169 0.671
Cl: 0.500 0.000 0.000
Cl: 0.500 0.500 0.000
Cl: 0.663 0.831 0.329
Cl: 0.831 0.169 0.671
Cl: 0.831 0.663 0.671

Values from the calculation:
total magnetic moment	0.000	μB per atom
formation energy without anion corrections	-1.34	eV/atom
mass density	3.761	g cm⁻³